The following is a DFT calculation (PBE) of crystalline K3Cd2Ag4 at its relaxed geometry.

The value obtained for the density of states at the Fermi level is 0.510 states/eV per atom. The total energy is -1.880 eV per atom. As for the size of the total moment: 0.000 μB per atom.

Lattice parameters (Å, degrees): 4.9894 6.5699 9.5215 104.36 90.00 112.32
Atoms (fractional coordinates):
K1 0.3751 0.7503 0.6237
K2 0.0000 0.0000 0.0000
K3 0.6249 0.2497 0.3763
Cd1 0.3193 0.6386 0.2290
Cd2 0.6807 0.3614 0.7710
Ag1 0.7517 0.5033 0.0830
Ag2 0.0872 0.1743 0.6332
Ag3 0.9128 0.8257 0.3668
Ag4 0.2483 0.4967 0.9170